No. 1
A relaxed structure of CsSnSbF6, computed with PBE.

Calculated values
**Formation energy (no corrections)**: -2487 meV/atom

Lattice parameters (Å, degrees): 6.773 6.775 4.889 89.99 89.95 59.95
Positions (direct):
Cs  0.000  0.000  0.050
Sn  0.666  0.667  0.569
Sb  0.333  0.333  0.429
F  0.934  0.436  0.306
F  0.273  0.134  0.678
F  0.593  0.273  0.678
F  0.133  0.593  0.678
F  0.437  0.630  0.306
F  0.630  0.933  0.306

No. 2
A relaxed structure of K4Rb3Hg, computed with PBE.

Calculated values
**ΔH_f (0 K)**: -0.0317 eV per atom
**Excess energy over the best structure of this formula in the dataset**: 0 meV per atom

Lattice parameters (Å, degrees): 7.329 10.080 14.770 90.00 90.00 90.00
Positions (direct):
K  0.078  0.934  0.000
K  0.581  0.173  0.000
K  0.060  0.138  0.241
K  0.560  0.862  0.259
K  0.081  0.827  0.500
K  0.578  0.066  0.500
K  0.560  0.862  0.741
K  0.060  0.138  0.759
Rb  0.549  0.596  0.000
Rb  0.051  0.589  0.186
Rb  0.551  0.411  0.314
Rb  0.049  0.404  0.500
Rb  0.551  0.411  0.686
Rb  0.051  0.589  0.814
Hg  0.087  0.313  0.000
Hg  0.587  0.687  0.500

No. 3
A relaxed structure of Y3AsBr, computed with PBE.

Calculated values
**Excess energy over the best structure of this formula in the dataset**: 0 meV per atom
**Formation energy (no corrections)**: -351 meV/atom

Lattice parameters (Å, degrees): 5.467 5.467 5.467 90.00 90.00 90.00
Positions (direct):
Y  0.000  0.500  0.000
Y  0.000  0.000  0.500
Y  0.500  0.000  0.000
As  0.000  0.000  0.000
Br  0.500  0.500  0.500

No. 4
A relaxed structure of Sc4ZnCl, computed with PBE.

Calculated values
**Formation energy (no corrections)**: 323 meV/atom

Lattice parameters (Å, degrees): 5.903 5.903 5.903 60.00 60.00 60.00
Positions (direct):
Sc  0.868  0.377  0.377
Sc  0.377  0.377  0.868
Sc  0.377  0.868  0.377
Sc  0.377  0.377  0.377
Zn  0.750  0.750  0.750
Cl  0.000  0.000  0.000

No. 5
A relaxed structure of NaPm2I6, computed with PBE.

Calculated values
**Formation energy (no corrections)**: -1292 meV/atom

Lattice parameters (Å, degrees): 7.581 7.718 7.718 120.00 90.00 90.00
Last column: magnetic moment on the atom in μB.
Positions (direct):
Na  0.000  0.000  0.000  0.00
Pm  0.500  0.667  0.333  0.13
Pm  0.500  0.333  0.667  0.13
I  0.746  0.656  0.656  0.00
I  0.254  0.656  0.000  0.00
I  0.254  0.000  0.656  0.00
I  0.746  0.344  0.000  0.00
I  0.254  0.344  0.344  0.00
I  0.746  0.000  0.344  0.00

No. 6
A relaxed structure of Rb2TiPt, computed with PBE.

Calculated values
**ΔH_f (0 K)**: 1.0939 eV per atom
**Excess energy over the best structure of this formula in the dataset**: 651 meV per atom

Lattice parameters (Å, degrees): 5.774 5.774 5.774 60.00 60.00 60.00
Last column: magnetic moment on the atom in μB.
Positions (direct):
Rb  0.250  0.250  0.250  0.04
Rb  0.750  0.750  0.750  0.04
Pt  0.500  0.500  0.500  0.00
Ti  0.000  0.000  0.000  2.23

No. 7
A relaxed structure of MoP2HCl, computed with PBE.

Calculated values
**Excess energy over the best structure of this formula in the dataset**: 110 meV per atom

Lattice parameters (Å, degrees): 3.753 3.753 4.847 90.00 90.00 90.00
Last column: magnetic moment on the atom in μB.
Positions (direct):
P  0.000  0.500  0.000  -0.09
P  0.500  0.000  0.000  -0.09
Mo  0.500  0.500  0.500  2.37
H  0.000  0.000  0.000  -0.01
Cl  0.000  0.000  0.500  -0.02

No. 8
A relaxed structure of Pm2AgSn, computed with PBE.

Calculated values
**ΔH_f (0 K)**: -0.4953 eV per atom
**Excess energy over the best structure of this formula in the dataset**: 31 meV per atom

Lattice parameters (Å, degrees): 4.060 5.192 5.192 90.00 90.00 90.00
Last column: magnetic moment on the atom in μB.
Positions (direct):
Sn  0.500  0.000  0.000  -0.01
Ag  0.500  0.500  0.500  0.01
Pm  0.000  0.000  0.500  0.12
Pm  0.000  0.500  0.000  0.12

No. 9
A relaxed structure of Li2Sm4O, computed with PBE.

Calculated values
**Formation energy (no corrections)**: -594 meV/atom

Lattice parameters (Å, degrees): 4.888 4.888 8.172 107.40 107.40 90.00
Positions (direct):
O  0.000  0.000  0.000
Sm  0.827  0.827  0.653
Sm  0.173  0.173  0.347
Sm  0.000  0.500  0.000
Sm  0.500  0.000  0.000
Li  0.627  0.627  0.255
Li  0.373  0.373  0.745

No. 10
A relaxed structure of Cs3SrTh2Te6, computed with PBE.

Calculated values
**Formation energy (no corrections)**: -1301 meV/atom

Lattice parameters (Å, degrees): 8.135 8.135 9.385 98.32 98.32 119.99
Positions (direct):
Cs  0.162  0.838  0.500
Cs  0.838  0.162  0.500
Cs  0.500  0.500  0.500
Sr  0.000  0.000  0.000
Th  0.333  0.667  0.000
Th  0.667  0.333  0.000
Te  0.934  0.584  0.802
Te  0.715  0.715  0.196
Te  0.066  0.416  0.198
Te  0.584  0.934  0.802
Te  0.285  0.285  0.804
Te  0.416  0.066  0.198

No. 11
A relaxed structure of Mg3Ga5Br12, computed with PBE.

Calculated values
**Formation energy (no corrections)**: -663 meV/atom

Lattice parameters (Å, degrees): 14.936 14.936 14.936 109.47 109.47 109.47
Positions (direct):
Mg  0.750  0.375  0.125
Mg  0.875  0.750  0.125
Mg  0.375  0.750  0.625
Mg  0.250  0.125  0.375
Mg  0.875  0.125  0.250
Mg  0.375  0.625  0.250
Mg  0.625  0.375  0.750
Mg  0.125  0.875  0.750
Mg  0.750  0.875  0.625
Mg  0.625  0.250  0.375
Mg  0.125  0.250  0.875
Mg  0.250  0.625  0.875
Ga  0.125  0.375  0.250
Ga  0.000  0.500  0.000
Ga  0.000  0.000  0.000
Ga  0.375  0.250  0.125
Ga  0.500  0.000  0.500
Ga  0.500  0.500  0.000
Ga  0.125  0.750  0.375
Ga  0.750  0.125  0.875
Ga  0.750  0.625  0.375
Ga  0.375  0.125  0.750
Ga  0.625  0.875  0.250
Ga  0.500  0.500  0.500
Ga  0.500  0.000  0.000
Ga  0.000  0.000  0.500
Ga  0.250  0.375  0.625
Ga  0.250  0.875  0.125
Ga  0.000  0.500  0.500
Ga  0.875  0.250  0.625
Ga  0.625  0.750  0.875
Ga  0.875  0.625  0.750
Br  0.735  0.122  0.066
Br  0.332  0.566  0.444
Br  0.934  0.378  0.265
Br  0.566  0.235  0.122
Br  0.613  0.735  0.668
Br  0.934  0.556  0.168
Br  0.332  0.765  0.387
Br  0.056  0.887  0.122
Br  0.556  0.934  0.668
Br  0.735  0.613  0.168
Br  0.765  0.434  0.378
Br  0.832  0.944  0.066
Br  0.122  0.735  0.566
Br  0.378  0.444  0.113
Br  0.113  0.944  0.378
Br  0.387  0.122  0.556
Br  0.113  0.168  0.235
Br  0.434  0.668  0.056
Br  0.832  0.887  0.265
Br  0.122  0.387  0.056
Br  0.378  0.934  0.765
Br  0.556  0.622  0.387
Br  0.944  0.832  0.566
Br  0.765  0.332  0.887
Br  0.444  0.378  0.613
Br  0.056  0.168  0.434
Br  0.235  0.668  0.113
Br  0.168  0.113  0.735
Br  0.622  0.066  0.235
Br  0.878  0.613  0.944
Br  0.566  0.332  0.944
Br  0.613  0.878  0.444
Br  0.887  0.832  0.765
Br  0.887  0.056  0.622
Br  0.878  0.265  0.434
Br  0.168  0.056  0.934
Br  0.622  0.556  0.887
Br  0.444  0.066  0.332
Br  0.265  0.387  0.832
Br  0.235  0.566  0.622
Br  0.944  0.113  0.878
Br  0.668  0.235  0.613
Br  0.434  0.765  0.878
Br  0.066  0.444  0.832
Br  0.387  0.265  0.332
Br  0.066  0.622  0.735
Br  0.668  0.434  0.556
Br  0.265  0.878  0.934

No. 12
A relaxed structure of BaTl6Pd2, computed with PBE.

Calculated values
**ΔH_f (0 K)**: -0.0153 eV per atom

Lattice parameters (Å, degrees): 9.522 9.522 9.522 60.00 60.00 60.00
Positions (direct):
Ba  0.500  0.500  0.500
Ba  0.750  0.750  0.750
Tl  0.232  0.232  0.768
Tl  0.768  0.768  0.232
Tl  0.232  0.768  0.232
Tl  0.232  0.768  0.768
Tl  0.482  0.482  0.018
Tl  0.482  0.018  0.018
Tl  0.768  0.232  0.768
Tl  0.018  0.018  0.482
Tl  0.482  0.018  0.482
Tl  0.018  0.482  0.482
Tl  0.768  0.232  0.232
Tl  0.018  0.482  0.018
Pd  0.125  0.125  0.125
Pd  0.125  0.625  0.125
Pd  0.125  0.125  0.625
Pd  0.625  0.125  0.125